12
Lattice="7.7464 0.0000 0.0000 0.0000 8.6192 0.0000 0.0000 0.0000 5.1596" Properties=species:S:1:pos:R:3 comment="SrCd2AgSn2, optimized geometry, DFT PBE-GGA" e_form_kj_per_mol_atoms=-15 sg="Pnnm, No. 58" dft_energy_ha_per_atom=-0.0937 pbc="T T T"
Sr 0.0000 0.0000 0.0000
Sr 3.8732 4.3096 2.5798
Cd 1.4747 1.6625 2.5798
Cd 2.3985 5.9721 0.0000
Cd 5.3479 2.6471 0.0000
Cd 6.2717 6.9567 2.5798
Ag 0.0000 4.3096 0.0000
Ag 3.8732 0.0000 2.5798
Sn 1.5385 7.0103 2.5798
Sn 2.3347 2.7006 0.0000
Sn 5.4117 5.9186 0.0000
Sn 6.2079 1.6090 2.5798